Below is a relaxed structure of RbAgIr2, with properties calculated at the PBE level.

a = 4.7980 Å, b = 4.7980 Å, c = 4.7980 Å
α = 60.00°, β = 60.00°, γ = 60.00°
Atoms (fractional coordinates):
Ir: 0.2500 0.2500 0.2500
Rb: 0.0000 0.0000 0.0000
Ag: 0.5000 0.5000 0.5000
Ir: 0.7500 0.7500 0.7500

Summary:
- Spin magnetization: 0.348 μB per atom
- DOS(E_F): 3.1446 states/eV/atom
- Distance to the lowest polymorph of the same formula: 703 meV/atom
- Energy of formation: 1.6376 eV per atom